Entry 1:
A geometry-optimized Ta3Ir8 structure. Source: Alexandria, functional PBE.

The structure in POSCAR format:
```
Ta3Ir8
1.0
-0.8288 0.9956 5.8030
-4.4720 -1.3926 -0.1842
4.2110 -5.6839 0.8054
Ta Ir
3 8
Direct
0.5000 0.0000 0.5000
0.0000 0.5000 0.5000
0.5000 0.5000 0.0000
0.0034 0.3019 0.0850
0.3307 0.9660 0.8440
0.0852 0.8989 0.3107
0.3751 0.4249 0.3253
0.6249 0.5751 0.6747
0.9148 0.1011 0.6893
0.6693 0.0340 0.1560
0.9966 0.6981 0.9150
```

Summary:
Magnetization   0.00 μB/cell
Mass density   18560 kg/m3
DFT formation energy   -0.075 eV/atom

Entry 2:
A geometry-optimized Ta5Ir3 structure. Source: Alexandria, functional PBE.

The structure in POSCAR format:
```
Ta5Ir3
1.0
1.9582 4.5719 2.6204
-5.0589 -0.6341 2.3682
1.7505 -2.5081 3.0679
Ta Ir
5 3
Direct
0.0000 0.0000 0.0000
0.5000 0.0000 0.0000
0.0000 0.5000 0.0000
0.7563 0.7563 0.5000
0.2437 0.2437 0.5000
0.5000 0.5000 0.0000
0.7320 0.2680 0.5000
0.2680 0.7320 0.5000
```

Summary:
Magnetization   0.00 μB/cell
Mass density   18373 kg/m3
Energy relative to the lowest polymorph listed for this composition   61 meV/atom
DFT formation energy   -0.365 eV/atom

Entry 3:
A geometry-optimized Ta4Ir3 structure. Source: Alexandria, functional PBE.

The structure in POSCAR format:
```
Ta4Ir3
1.0
-3.0665 -1.9204 -3.7562
-3.5066 -3.6918 1.1294
-3.3879 3.5144 0.9690
Ir Ta
3 4
Direct
0.5000 0.5000 0.0000
0.0000 0.5000 0.0000
0.5000 0.0000 0.0000
0.0000 0.0000 0.2510
0.0000 0.0000 0.7490
0.3333 0.3333 0.5000
0.6667 0.6667 0.5000
```

Summary:
Magnetization   0.00 μB/cell
Mass density   18420 kg/m3
Energy relative to the lowest polymorph listed for this composition   0 meV/atom
DFT formation energy   -0.468 eV/atom

Entry 4:
A geometry-optimized Ta3Ir structure. Source: Alexandria, functional PBE.

The structure in POSCAR format:
```
Ta3Ir
1.0
4.1077 0.0000 0.0000
0.0000 4.1077 0.0000
0.0000 0.0000 4.1077
Ir Ta
1 3
Direct
0.0000 0.0000 0.0000
0.0000 0.5000 0.5000
0.5000 0.0000 0.5000
0.5000 0.5000 0.0000
```

Summary:
Magnetization   0.00 μB/cell
Mass density   17611 kg/m3
DFT formation energy   -0.149 eV/atom

Entry 5:
A geometry-optimized TaIr structure. Source: Alexandria, functional PBE.

The structure in POSCAR format:
```
TaIr
1.0
-2.1366 -1.8451 0.3808
2.4836 -2.2004 3.2735
-1.9142 2.9218 3.4163
Ir Ta
2 2
Direct
0.0000 0.7500 0.8095
0.0000 0.2500 0.1905
0.5000 0.2500 0.6972
0.5000 0.7500 0.3028
```

Summary:
Magnetization   0.00 μB/cell
Mass density   19104 kg/m3
DFT formation energy   -0.559 eV/atom

Entry 6:
A geometry-optimized TaIr structure. Source: Alexandria, functional PBE.

The structure in POSCAR format:
```
TaIr
1.0
-0.1123 0.5039 -3.3071
-1.4182 -2.7262 1.3266
-6.3325 3.6711 0.7744
Ir Ta
2 2
Direct
0.3333 0.6667 0.2500
0.6667 0.3333 0.7500
0.0000 0.0000 0.0000
0.0000 0.0000 0.5000
```

Summary:
Magnetization   0.00 μB/cell
Mass density   17354 kg/m3
DFT formation energy   -0.148 eV/atom

Entry 7:
A geometry-optimized TaIr5 structure. Source: Alexandria, functional PBE.

The structure in POSCAR format:
```
TaIr5
1.0
0.0581 -4.4842 2.7548
2.7259 -3.6939 2.5739
-0.1655 1.9924 6.2640
Ta Ir
1 5
Direct
0.2782 0.2782 0.9465
0.0007 0.0007 0.9985
0.6130 0.6130 0.2713
0.3320 0.3320 0.3355
0.9424 0.9424 0.6156
0.6670 0.6670 0.6660
```

Summary:
Magnetization   0.00 μB/cell
Mass density   21044 kg/m3
DFT formation energy   -0.282 eV/atom

Entry 8:
A geometry-optimized TaIr5 structure. Source: Alexandria, functional PBE.

The structure in POSCAR format:
```
TaIr5
1.0
0.5696 -4.0750 -3.0536
-0.1894 -4.7255 1.9718
-4.0069 -3.0338 -0.9978
Ta Ir
1 5
Direct
0.0000 0.0000 0.0000
0.6244 0.6244 0.1268
0.2500 0.2500 0.2500
0.6244 0.6244 0.6244
0.1268 0.6244 0.6244
0.6244 0.1268 0.6244
```

Summary:
Magnetization   0.00 μB/cell
Mass density   19936 kg/m3
DFT formation energy   0.130 eV/atom

Entry 9:
A geometry-optimized TaIr structure. Source: Alexandria, functional PBE.

The structure in POSCAR format:
```
TaIr
1.0
3.9255 0.0008 0.0007
-1.9619 4.6393 0.0013
0.0009 1.6588 3.5581
Ir Ta
2 2
Direct
0.9999 0.0000 0.9999
0.2500 0.5000 0.2501
0.5000 0.0000 0.5000
0.7500 0.5000 0.7500
```

Summary:
Magnetization   0.00 μB/cell
Mass density   19127 kg/m3
DFT formation energy   -0.520 eV/atom

Entry 10:
A geometry-optimized TaIr structure. Source: Alexandria, functional PBE.

The structure in POSCAR format:
```
TaIr
1.0
-2.8191 -0.0754 0.2026
0.4932 -1.5005 2.3450
0.1319 6.9565 4.4235
Ir Ta
2 2
Direct
0.0000 0.0000 0.9933
0.5000 0.5000 0.7567
0.0000 0.0000 0.5149
0.5000 0.5000 0.2351
```

Summary:
Magnetization   0.00 μB/cell
Mass density   18899 kg/m3
DFT formation energy   -0.201 eV/atom

Entry 11:
A geometry-optimized Ta2Ir3 structure. Source: Alexandria, functional PBE.

The structure in POSCAR format:
```
Ta2Ir3
1.0
11.3892 -1.4252 -0.0130
11.3892 1.4252 -0.0130
11.2137 0.0000 2.4492
Ta Ir
2 3
Direct
0.5993 0.5993 0.5993
0.4007 0.4007 0.4007
0.0000 0.0000 0.0000
0.7984 0.7984 0.7984
0.2016 0.2016 0.2016
```

Summary:
Magnetization   0.00 μB/cell
Mass density   19499 kg/m3
Energy relative to the lowest polymorph listed for this composition   319 meV/atom
DFT formation energy   -0.221 eV/atom

Entry 12:
A geometry-optimized Ta4Ir3 structure. Source: Alexandria, functional PBE.

The structure in POSCAR format:
```
Ta4Ir3
1.0
-1.6612 1.6612 10.6776
1.6612 -1.6612 10.6776
1.6612 1.6612 -10.6776
Ta Ir
4 3
Direct
0.8483 0.8483 0.0000
0.5712 0.5712 0.0000
0.4288 0.4288 0.0000
0.1517 0.1517 0.0000
0.0000 0.0000 0.0000
0.7092 0.7092 0.0000
0.2908 0.2908 0.0000
```

Summary:
Magnetization   0.00 μB/cell
Mass density   18322 kg/m3
Energy relative to the lowest polymorph listed for this composition   108 meV/atom
DFT formation energy   -0.360 eV/atom

Entry 13:
A geometry-optimized TaIr structure. Source: Alexandria, functional PBE.

The structure in POSCAR format:
```
TaIr
1.0
5.2885 0.0000 0.0000
0.0000 4.4902 0.0000
0.0000 0.0000 5.5544
Ir Ta
4 4
Direct
0.0760 0.2500 0.1385
0.4240 0.7500 0.6385
0.5760 0.2500 0.3615
0.9240 0.7500 0.8615
0.1436 0.2500 0.6168
0.3564 0.7500 0.1168
0.6436 0.2500 0.8832
0.8564 0.7500 0.3832
```

Summary:
Magnetization   0.00 μB/cell
Mass density   18792 kg/m3
DFT formation energy   -0.567 eV/atom

Entry 14:
A geometry-optimized TaIr5 structure. Source: Alexandria, functional PBE.

The structure in POSCAR format:
```
TaIr5
1.0
-4.2619 -0.4069 -2.2767
0.1973 -0.2479 4.8386
-0.5502 4.3816 0.2469
Ir Ta
5 1
Direct
0.9883 0.0000 0.0000
0.6784 0.3450 0.0000
0.3333 0.6550 0.0000
0.0000 0.3333 0.5000
0.6667 0.6667 0.5000
0.3333 0.0000 0.5000
```

Summary:
Magnetization   0.00 μB/cell
Mass density   21057 kg/m3
DFT formation energy   -0.365 eV/atom

Entry 15:
A geometry-optimized Ta3Ir structure. Source: Alexandria, functional PBE.

The structure in POSCAR format:
```
Ta3Ir
1.0
5.7049 0.0000 0.0000
2.8524 4.9406 0.0000
0.0000 0.0000 9.8686
Ir Ta
4 12
Direct
0.0000 0.0000 0.0000
0.0000 0.0000 0.5000
0.6667 0.6667 0.2500
0.3333 0.3333 0.7500
0.5000 0.5000 0.0000
0.5000 0.5000 0.5000
0.8359 0.3282 0.7500
0.3282 0.8359 0.7500
0.1641 0.1641 0.2500
0.5000 0.0000 0.0000
0.5000 0.0000 0.5000
0.0000 0.5000 0.0000
0.0000 0.5000 0.5000
0.8359 0.8359 0.7500
0.6718 0.1641 0.2500
0.1641 0.6718 0.2500
```

Summary:
Magnetization   0.00 μB/cell
Mass density   17553 kg/m3
DFT formation energy   -0.159 eV/atom

Entry 16:
A geometry-optimized Ta5Ir3 structure. Source: Alexandria, functional PBE.

The structure in POSCAR format:
```
Ta5Ir3
1.0
-6.2609 4.6676 -1.0844
-5.1372 1.1323 5.8727
2.7417 4.0532 1.6168
Ir Ta
6 10
Direct
0.6005 0.3996 0.7500
0.3996 0.6004 0.2500
0.3996 0.0000 0.7500
0.0000 0.3996 0.2500
0.6004 0.0000 0.2500
0.0000 0.6004 0.7500
0.7561 0.2439 0.2500
0.2439 0.7561 0.7500
0.2439 0.0000 0.2500
0.0000 0.2440 0.7500
0.6667 0.6667 0.0000
0.6667 0.6667 0.5000
0.3333 0.3333 0.0000
0.3333 0.3333 0.5000
0.7561 0.0000 0.7500
0.0000 0.7561 0.2500
```

Summary:
Magnetization   0.00 μB/cell
Mass density   17733 kg/m3
Energy relative to the lowest polymorph listed for this composition   19 meV/atom
DFT formation energy   -0.407 eV/atom

Entry 17:
A geometry-optimized TaIr7 structure. Source: Alexandria, functional PBE.

The structure in POSCAR format:
```
TaIr7
1.0
-1.4262 5.2129 -1.0958
-5.0307 1.1292 -1.9560
-3.6840 2.5796 3.1910
Ir Ta
7 1
Direct
0.0000 0.5000 0.0000
0.0000 0.5000 0.5000
0.5000 0.5000 0.0000
0.5000 0.0000 0.5000
0.5000 0.0000 0.0000
0.0000 0.0000 0.5000
0.5000 0.5000 0.5000
0.0000 0.0000 0.0000
```

Summary:
Magnetization   0.00 μB/cell
Mass density   21377 kg/m3
DFT formation energy   -0.308 eV/atom

Entry 18:
A geometry-optimized Ta3Ir structure. Source: Alexandria, functional PBE.

The structure in POSCAR format:
```
Ta3Ir
1.0
2.8461 -4.9296 0.0000
2.8461 4.9296 0.0000
0.0000 0.0000 4.9686
Ta Ir
6 2
Direct
0.8300 0.1700 0.2500
0.1700 0.8300 0.7500
0.8300 0.6599 0.2500
0.1700 0.3401 0.7500
0.3401 0.1700 0.2500
0.6599 0.8300 0.7500
0.3333 0.6667 0.2500
0.6667 0.3333 0.7500
```

Summary:
Magnetization   0.00 μB/cell
Mass density   17509 kg/m3
DFT formation energy   -0.119 eV/atom

Entry 19:
A geometry-optimized Ta3Ir structure. Source: Alexandria, functional PBE.

The structure in POSCAR format:
```
Ta3Ir
1.0
-0.5460 2.9213 -0.4197
-1.4726 -0.5090 9.1049
2.2699 1.9635 -0.0178
Ir Ta
1 3
Direct
0.0000 0.0000 0.0000
0.2539 0.7617 0.2539
0.5000 0.5000 0.5000
0.7461 0.2383 0.7461
```

Summary:
Magnetization   0.00 μB/cell
Mass density   17244 kg/m3
DFT formation energy   -0.047 eV/atom

Entry 20:
A geometry-optimized Ta3Ir structure. Source: Alexandria, functional PBE.

The structure in POSCAR format:
```
Ta3Ir
1.0
-0.3461 -2.8397 0.4017
0.2463 1.0608 -2.6756
9.5554 -1.1018 0.4429
Ir Ta
1 3
Direct
0.0000 0.0000 0.0000
0.0000 0.0000 0.5000
0.3333 0.6667 0.2354
0.3333 0.6667 0.7646
```

Summary:
Magnetization   0.00 μB/cell
Mass density   17541 kg/m3
DFT formation energy   -0.015 eV/atom

| no. | DOS(E_F) (states/eV per cell) |
| --- | --- |
| 1 | 9.08 |
| 2 | 7.19 |
| 3 | 5.59 |
| 4 | 6.24 |
| 5 | 3.98 |
| 6 | 1.59 |
| 7 | 4.62 |
| 8 | 9.20 |
| 9 | 2.23 |
| 10 | 3.56 |
| 11 | 6.60 |
| 12 | 6.14 |
| 13 | 4.08 |
| 14 | 4.98 |
| 15 | 12.32 |
| 16 | 14.36 |
| 17 | 4.70 |
| 18 | 7.78 |
| 19 | 3.15 |
| 20 | 5.26 |